[1]
Crystalline Th2Hg3Bi3 at its relaxed geometry, computed with PBE.

Results
For the volume, the calculation gives 28.08 Å³ per atom. As for the calculated total energy: -30.07 eV/cell. The value obtained for the energy of formation is -32 kJ/mol of atoms. The theoretical density comes out at 12.51 g cm⁻³.

a = 4.8354 Å, b = 5.0323 Å, c = 9.2305 Å
α = 90.00°, β = 90.00°, γ = 90.00°
With the nearest neighbours (Å) after each atom.
Space group Pmmm (No. 47)
Inequivalent atoms, fractional coordinates:
1 Th 0.0000 0.0000 0.2479 [2 per cell]  6 Bi 3.33-3.40, 6 Hg 3.43-3.49
2 Hg 0.0000 0.5000 0.5000 [1 per cell]  4 Hg 3.28, 4 Th 3.43, 4 Bi 3.49
3 Hg 0.5000 0.5000 0.2606 [2 per cell]  2 Hg 3.28, 6 Bi 3.35-3.48, 4 Th 3.49
4 Bi 0.0000 0.5000 0.0000 [1 per cell]  4 Th 3.40, 4 Hg 3.41, 4 Bi 3.49
5 Bi 0.5000 0.0000 0.0000 [1 per cell]  4 Th 3.33, 4 Hg 3.48, 4 Bi 3.49
6 Bi 0.5000 0.0000 0.5000 [1 per cell]  8 Hg 3.35-3.49, 4 Th 3.36

---

[2]
Crystalline Sc3Fe4 at its relaxed geometry, computed with PBE.

Results
For the volume, the calculation gives 16.31 Å³ per atom. As for the polymorph energy (0 for the lowest one): 0.0 meV per atom. As for the calculated total energy: -105.69 eV/cell. The value obtained for the energy of formation is 0 kJ/mol of atoms. The theoretical density comes out at 5.21 g cm⁻³.

a = 3.0879 Å, b = 3.0879 Å, c = 23.9410 Å
α = 90.00°, β = 90.00°, γ = 90.00°
With the nearest neighbours (Å) after each atom.
Space group I4/mmm (No. 139)
Inequivalent atoms, fractional coordinates:
1 Sc 0.0000 0.0000 0.0000 [2 per cell]  10 Fe 2.81-2.93, 4 Sc 3.09
2 Sc 0.0000 0.0000 0.3068 [4 per cell]  5 Fe 2.76-2.86, 4 Sc 3.09
3 Fe 0.0000 0.0000 0.1224 [4 per cell]  4 Fe 2.47, 4 Sc 2.76
4 Fe 0.0000 0.0000 0.4262 [4 per cell]  4 Fe 2.47

---

[3]
Crystalline Pm2PtRh3 at its relaxed geometry, computed with PBE.

Results
For the volume, the calculation gives 18.80 Å³ per atom. As for the calculated total energy: -127.15 eV/cell. The value obtained for the energy of formation is -77 kJ/mol of atoms. The theoretical density comes out at 11.69 g cm⁻³.

a = 5.4283 Å, b = 5.4283 Å, c = 13.2615 Å
α = 90.00°, β = 90.00°, γ = 120.00°
With the nearest neighbours (Å) after each atom.
Space group R-3m (No. 166, hexagonal axes)
Inequivalent atoms, fractional coordinates:
1 Pm 0.0000 0.0000 0.1244 [6 per cell]  9 Rh 3.18, 3 Pt 3.18, 4 Pm 3.30-3.33
2 Pt 0.0000 0.0000 0.5000 [3 per cell]  6 Rh 2.71
3 Rh 0.0000 0.5000 0.0000 [9 per cell]  2 Pt 2.71, 4 Rh 2.71